## one
A geometry-optimized TaTeMo3 structure, computed with PBE.

Structure (CIF):
```
data_TaTeMo3
_chemical_formula_sum 'Ta1 Te1 Mo3'
_cell_length_a 4.846
_cell_length_b 4.846
_cell_length_c 4.846
_cell_angle_alpha 90.00
_cell_angle_beta 90.00
_cell_angle_gamma 90.00
_symmetry_space_group_name_H-M 'P m -3 m'
_symmetry_Int_Tables_number 221
_symmetry_space_group_name_Hall '-P 4 2 3'
loop_
_atom_site_label
_atom_site_type_symbol
_atom_site_fract_x
_atom_site_fract_y
_atom_site_fract_z
Ta1 Ta 0.000 0.000 0.000
Te1 Te 0.500 0.500 0.500
Mo1 Mo 0.000 0.000 0.500
```

Output
Density of states at the Fermi level ... 7.136 states/eV/f.u.
Spin magnetization ... 1.96 μB per cell

***

## two
A geometry-optimized TaTeMo3 structure, computed with PBE.

Structure (CIF):
```
data_TaTeMo3
_chemical_formula_sum 'Ta1 Te1 Mo3'
_cell_length_a 4.795
_cell_length_b 4.795
_cell_length_c 4.795
_cell_angle_alpha 90.00
_cell_angle_beta 90.00
_cell_angle_gamma 90.00
_symmetry_space_group_name_H-M 'P m -3 m'
_symmetry_Int_Tables_number 221
_symmetry_space_group_name_Hall '-P 4 2 3'
loop_
_atom_site_label
_atom_site_type_symbol
_atom_site_fract_x
_atom_site_fract_y
_atom_site_fract_z
Ta1 Ta 0.000 0.000 0.000
Te1 Te 0.500 0.500 0.500
Mo1 Mo 0.000 0.500 0.500
```

Output
Density of states at the Fermi level ... 11.353 states/eV/f.u.
Spin magnetization ... 0.00 μB per cell

***

one takes first place; second place is 15.9 kJ/mol of atoms up.

***

## one
A geometry-optimized TaTiMo structure, computed with PBE.

Structure (CIF):
```
data_TaTiMo
_chemical_formula_sum 'Ta4 Ti4 Mo4'
_cell_length_a 4.562
_cell_length_b 13.708
_cell_length_c 3.226
_cell_angle_alpha 90.00
_cell_angle_beta 90.00
_cell_angle_gamma 90.00
_symmetry_space_group_name_H-M 'C m m m'
_symmetry_Int_Tables_number 65
_symmetry_space_group_name_Hall '-C 2 2'
loop_
_atom_site_label
_atom_site_type_symbol
_atom_site_fract_x
_atom_site_fract_y
_atom_site_fract_z
Ta1 Ta 0.000 0.170 0.000
Ti1 Ti 0.000 0.000 0.500
Ti2 Ti 0.000 0.500 0.000
Mo1 Mo 0.000 0.337 0.500
```

Output
Density of states at the Fermi level ... 3.735 states/eV/f.u.
Spin magnetization ... 0.00 μB per cell

***

## two
A geometry-optimized TaTiMo structure, computed with PBE.

Structure (CIF):
```
data_TaTiMo
_chemical_formula_sum 'Ta1 Ti1 Mo1'
_cell_length_a 3.235
_cell_length_b 3.237
_cell_length_c 5.318
_cell_angle_alpha 72.53
_cell_angle_beta 72.86
_cell_angle_gamma 89.20
_symmetry_space_group_name_H-M 'P 1'
_symmetry_Int_Tables_number 1
_symmetry_space_group_name_Hall 'P 1'
loop_
_atom_site_label
_atom_site_type_symbol
_atom_site_fract_x
_atom_site_fract_y
_atom_site_fract_z
Ta1 Ta 0.000 0.000 0.000
Ti1 Ti 0.320 0.317 0.373
Mo1 Mo 0.659 0.657 0.690
```

Output
Density of states at the Fermi level ... 4.399 states/eV/f.u.
Spin magnetization ... 0.00 μB per cell

***

## three
A geometry-optimized TaTiMo structure, computed with PBE.

Structure (CIF):
```
data_TaTiMo
_chemical_formula_sum 'Ta4 Ti4 Mo4'
_cell_length_a 3.227
_cell_length_b 13.689
_cell_length_c 4.582
_cell_angle_alpha 90.00
_cell_angle_beta 90.00
_cell_angle_gamma 90.00
_symmetry_space_group_name_H-M 'C m c m'
_symmetry_Int_Tables_number 63
_symmetry_space_group_name_Hall '-C 2c 2'
loop_
_atom_site_label
_atom_site_type_symbol
_atom_site_fract_x
_atom_site_fract_y
_atom_site_fract_z
Ta1 Ta 0.000 0.081 0.250
Ti1 Ti 0.000 0.238 0.750
Mo1 Mo 0.000 0.415 0.250
```

Output
Density of states at the Fermi level ... 3.522 states/eV/f.u.
Spin magnetization ... 0.00 μB per cell

***

three takes first place; second place is 1.9 kJ/mol of atoms up.